The following is a PBE calculation of a geometry-optimized Tb2DyIn3CuPd2 structure, from OQMD.

Cell lengths 3.863, 7.666, 7.666 Å; angles 119.97, 90.00, 90.00 degrees
Sites, in units of the cell vectors:
Tb 0.000 0.000 0.410
Cu 0.000 0.000 0.000
In 0.500 0.252 0.252
Pd 0.500 0.666 0.334
Pd 0.500 0.334 0.666
In 0.500 0.000 0.748
Tb 0.000 0.410 0.000
Dy 0.000 0.590 0.590
In 0.500 0.748 0.000

## Properties
Space group: Amm2, No. 38
DFT total energy, eV per cell: -42.473
Calculated density, Mg/m³: 9.30
V, Å³/atom: 21.9
Total moment, Bohr magnetons per cell: 0.01



The following is a PBE calculation of a geometry-optimized TaCoHgSb structure, from OQMD.

Cell lengths 4.669, 4.669, 4.669 Å; angles 60.00, 60.00, 60.00 degrees
Sites, in units of the cell vectors:
Hg 0.500 0.500 0.500
Co 0.750 0.750 0.750
Ta 0.250 0.250 0.250
Sb 0.000 0.000 0.000

## Properties
Relative energy among the computed polymorphs, eV/f.u.: 0.00
Space group: F-43m, No. 216
DFT total energy, eV per cell: -21.241
Calculated density, Mg/m³: 12.98
V, Å³/atom: 18.0
Total moment, Bohr magnetons per cell: 0.37



The following is a PBE calculation of a geometry-optimized PuSbPb structure, from OQMD.

Cell lengths 5.268, 5.268, 5.268 Å; angles 60.00, 60.00, 60.00 degrees
Sites, in units of the cell vectors:
Sb 0.750 0.750 0.750
Pb 0.000 0.000 0.000
Pu 0.250 0.250 0.250

## Properties
Relative energy among the computed polymorphs, eV/f.u.: 0.50
Space group: F-43m, No. 216
DFT total energy, eV per cell: -21.755
Calculated density, Mg/m³: 9.20
V, Å³/atom: 34.5
Total moment, Bohr magnetons per cell: 6.15



The following is a PBE calculation of a geometry-optimized Zn2SeO structure, from OQMD.

Cell lengths 5.673, 3.544, 12.952 Å; angles 90.00, 90.00, 90.00 degrees
Sites, in units of the cell vectors:
Zn 0.690 0.750 0.398
Zn 0.310 0.250 0.602
Zn 0.127 0.250 0.315
Zn 0.810 0.250 0.898
Se 0.763 0.750 0.070
Zn 0.190 0.750 0.102
O 0.225 0.750 0.677
Zn 0.873 0.750 0.685
O 0.275 0.250 0.177
Se 0.263 0.750 0.430
O 0.725 0.750 0.823
Zn 0.627 0.250 0.185
Se 0.737 0.250 0.570
Se 0.237 0.250 0.930
Zn 0.373 0.750 0.815
O 0.775 0.250 0.323

## Properties
Relative energy among the computed polymorphs, eV/f.u.: 0.02
Space group: Pnma, No. 62
DFT total energy, eV per cell: -58.204
Calculated density, Mg/m³: 5.76
V, Å³/atom: 16.3



The following is a PBE calculation of a geometry-optimized LiGdCdS3 structure, from OQMD.

Cell lengths 7.396, 3.978, 10.630 Å; angles 90.00, 103.92, 90.00 degrees
Sites, in units of the cell vectors:
S 0.745 0.750 0.580
S 0.908 0.750 0.122
S 0.563 0.250 0.860
Gd 0.832 0.750 0.853
Li 0.335 0.750 0.894
Li 0.665 0.250 0.106
Cd 0.541 0.250 0.619
Cd 0.459 0.750 0.381
S 0.255 0.250 0.420
Gd 0.168 0.250 0.147
S 0.437 0.750 0.140
S 0.092 0.250 0.878

## Properties
Relative energy among the computed polymorphs, eV/f.u.: 0.27
Space group: P2_1/m, No. 11
DFT total energy, eV per cell: -55.709
Calculated density, Mg/m³: 4.08
V, Å³/atom: 25.3
Total moment, Bohr magnetons per cell: 0.00



The following is a PBE calculation of a geometry-optimized BaNaErS3 structure, from OQMD.

Cell lengths 10.389, 4.235, 13.793 Å; angles 90.00, 90.00, 90.00 degrees
Sites, in units of the cell vectors:
S 0.953 0.750 0.881
Na 0.253 0.250 0.221
S 0.253 0.750 0.324
Ba 0.252 0.250 0.492
S 0.547 0.250 0.381
Er 0.497 0.250 0.750
S 0.453 0.750 0.619
S 0.960 0.250 0.380
S 0.540 0.750 0.880
Na 0.753 0.250 0.279
Na 0.247 0.750 0.721
Ba 0.748 0.750 0.508
Er 0.503 0.750 0.250
S 0.747 0.250 0.676
Ba 0.248 0.750 0.992
Er 0.997 0.250 0.750
S 0.040 0.750 0.620
Er 0.003 0.750 0.250
Na 0.747 0.750 0.779
S 0.047 0.250 0.119
S 0.753 0.750 0.176
S 0.247 0.250 0.824
S 0.460 0.250 0.120
Ba 0.752 0.250 0.008

## Properties
Space group: Pnma, No. 62
DFT total energy, eV per cell: -122.899
Calculated density, Mg/m³: 4.64
V, Å³/atom: 25.3
Total moment, Bohr magnetons per cell: 0.02



Question: Look up the DFT total energy of the fourth one.
Answer: -58.204 eV per cell